Here is a geometry-optimized GaFe7 structure from Alexandria. Energies are from GGA-PBE.

Results
Space group   I4/mmm
ΔH_f (0 K)   -0.05 eV per atom
Density   8.05 g cm⁻³

a = 4.069 Å, b = 4.069 Å, c = 6.419 Å
α = 108.48°, β = 108.48°, γ = 90.00°
Positions (direct):
Ga 0.000 0.000 0.000
Fe 0.871 0.371 0.743
Fe 0.751 0.751 0.503
Fe 0.629 0.129 0.257
Fe 0.500 0.500 0.000
Fe 0.371 0.871 0.743
Fe 0.249 0.249 0.497
Fe 0.129 0.629 0.257

***

Here is a geometry-optimized Au5O structure from Alexandria. Energies are from GGA-PBE.

Results
Space group   Cmmm
Density   16.56 g cm⁻³
Uncorrected formation energy   0.226 eV per atom

a = 2.936 Å, b = 5.081 Å, c = 7.192 Å
α = 110.68°, β = 90.00°, γ = 90.00°
Positions (direct):
Au 0.500 0.866 0.731
Au 0.000 0.685 0.370
Au 0.500 0.500 0.000
Au 0.000 0.315 0.630
Au 0.500 0.134 0.269
O 0.000 0.000 0.000

***

Here is a geometry-optimized BaBe2W structure from Alexandria. Energies are from GGA-PBE.

Results
Space group   C2/m
ΔH_f (0 K)   0.68 eV per atom
Density   6.72 g cm⁻³

a = 4.333 Å, b = 4.333 Å, c = 6.166 Å
α = 72.19°, β = 72.19°, γ = 50.36°
Positions (direct):
Be 0.044 0.044 0.808
Be 0.456 0.456 0.692
Ba 0.250 0.250 0.250
W 0.750 0.750 0.750

***

Here is a geometry-optimized Y2Cu2P3 structure from Alexandria. Energies are from GGA-PBE.

Results
Space group   C2/m
ΔH_f (0 K)   -0.96 eV per atom
Density   5.22 g cm⁻³

a = 3.955 Å, b = 7.524 Å, c = 9.068 Å
α = 81.76°, β = 77.40°, γ = 74.76°
Positions (direct):
Y 0.263 0.132 0.341
Y 0.737 0.868 0.659
Y 0.394 0.270 0.942
Y 0.606 0.730 0.058
Cu 0.048 0.223 0.682
Cu 0.952 0.777 0.318
Cu 0.413 0.522 0.653
Cu 0.587 0.478 0.347
P 0.077 0.969 0.877
P 0.923 0.031 0.123
P 0.159 0.490 0.192
P 0.841 0.510 0.808
P 0.386 0.765 0.462
P 0.614 0.235 0.538

***

Here is a geometry-optimized Er3Mg3Co structure from Alexandria. Energies are from GGA-PBE.

Results
Space group   Fd-3m
ΔH_f (0 K)   -0.13 eV per atom
Density   6.07 g cm⁻³

a = 9.933 Å, b = 9.933 Å, c = 9.933 Å
α = 60.00°, β = 60.00°, γ = 60.00°
Positions (direct):
Er 0.056 0.444 0.056
Er 0.194 0.194 0.806
Er 0.806 0.806 0.194
Er 0.806 0.194 0.806
Er 0.806 0.194 0.194
Er 0.194 0.806 0.806
Er 0.444 0.056 0.056
Er 0.056 0.056 0.444
Er 0.444 0.444 0.056
Er 0.056 0.444 0.444
Er 0.194 0.806 0.194
Er 0.444 0.056 0.444
Mg 0.831 0.831 0.831
Mg 0.419 0.419 0.742
Mg 0.419 0.742 0.419
Mg 0.742 0.419 0.419
Mg 0.831 0.508 0.831
Mg 0.508 0.831 0.831
Mg 0.831 0.831 0.508
Mg 0.419 0.419 0.419
Mg 0.625 0.625 0.625
Mg 0.625 0.625 0.125
Mg 0.625 0.125 0.625
Mg 0.125 0.625 0.625
Co 0.125 0.125 0.125
Co 0.125 0.125 0.625
Co 0.125 0.625 0.125
Co 0.625 0.125 0.125

***

Here is a geometry-optimized SrZr2Cd structure from Alexandria. Energies are from GGA-PBE.

Results
Space group   P4/mmm
ΔH_f (0 K)   0.32 eV per atom
Density   5.97 g cm⁻³

a = 3.255 Å, b = 3.255 Å, c = 10.040 Å
α = 90.00°, β = 90.00°, γ = 90.00°
Positions (direct):
Cd 0.500 0.500 0.250
Sr 0.500 0.500 0.750
Zr 0.000 0.000 0.041
Zr 0.000 0.000 0.459

***

Copy entry 1 word for word.
Here is a geometry-optimized GaFe7 structure from Alexandria. Energies are from GGA-PBE.

Results
Space group   I4/mmm
ΔH_f (0 K)   -0.05 eV per atom
Density   8.05 g cm⁻³

a = 4.069 Å, b = 4.069 Å, c = 6.419 Å
α = 108.48°, β = 108.48°, γ = 90.00°
Positions (direct):
Ga 0.000 0.000 0.000
Fe 0.871 0.371 0.743
Fe 0.751 0.751 0.503
Fe 0.629 0.129 0.257
Fe 0.500 0.500 0.000
Fe 0.371 0.871 0.743
Fe 0.249 0.249 0.497
Fe 0.129 0.629 0.257